Record 1
VASP calculation (PBE) on an optimized crystal structure of PrGaRh2.

Cell and atoms, written as extended XYZ:
```
4
Lattice="-2.774 -1.484 -0.716 1.616 -2.177 -1.749 0.689 -3.995 5.610" Properties=species:S:1:pos:R:3 pbc="T T T"
Rh 0.139 -0.807 1.133
Pr -0.234 -3.828 1.572
Ga -0.579 -1.831 -1.233
Rh 0.550 -3.188 4.476
```

## Properties
total DFT energy (no corrections): -6.17 eV per atom
symmetry: P4/mmm (123)
crystal system: tetragonal
formation enthalpy at 0 K: -2.15 eV per formula unit

Record 2
VASP calculation (PBE) on an optimized crystal structure of PrGaRh.

Cell and atoms, written as extended XYZ:
```
6
Lattice="-3.028 -2.479 0.183 2.196 0.174 -3.239 6.291 -7.400 3.867" Properties=species:S:1:pos:R:3 pbc="T T T"
Rh 0.941 -1.107 0.579
Ga 5.154 -6.237 0.790
Pr 3.307 -4.065 -0.345
Pr 4.711 -8.650 2.729
Rh 4.087 -4.807 2.512
Ga 0.267 -3.422 -0.003
```

## Properties
total DFT energy (no corrections): -5.55 eV per atom
symmetry: P6_3mc (186)
crystal system: hexagonal
formation enthalpy at 0 K: -1.48 eV per formula unit

What did the second record say?
VASP calculation (PBE) on an optimized crystal structure of PrGaRh.

Cell and atoms, written as extended XYZ:
```
6
Lattice="-3.028 -2.479 0.183 2.196 0.174 -3.239 6.291 -7.400 3.867" Properties=species:S:1:pos:R:3 pbc="T T T"
Rh 0.941 -1.107 0.579
Ga 5.154 -6.237 0.790
Pr 3.307 -4.065 -0.345
Pr 4.711 -8.650 2.729
Rh 4.087 -4.807 2.512
Ga 0.267 -3.422 -0.003
```

## Properties
total DFT energy (no corrections): -5.55 eV per atom
symmetry: P6_3mc (186)
crystal system: hexagonal
formation enthalpy at 0 K: -1.48 eV per formula unit